A relaxed Li2Cu3Au4 crystal. Source: Alexandria via LeMat-Bulk, functional PBE.

* density: 12.3 g cm⁻³
* electronic total energy: -3.50 eV per atom
* E_form: -5.772 kcal/mol of atoms

Unit cell a=4.0340 b=4.6217 c=8.2061 alpha=77.87 beta=89.78 gamma=64.26
Last column: nearest neighbours and their distance in Å.
Fractional positions:
Li1 0.1764 0.1475 0.2246  5 Cu 2.67-2.90, 7 Au 2.68-2.78
Li2 0.8236 0.8525 0.7754  5 Cu 2.67-2.90, 7 Au 2.68-2.78
Cu1 0.1580 0.1833 0.5457  3 Cu 2.57-2.74, 6 Au 2.66-2.80, 2 Li 2.67-2.88
Cu2 0.5000 0.5000 0.0000  8 Au 2.70-2.73, 4 Li 2.88-2.90
Cu3 0.8420 0.8167 0.4543  3 Cu 2.57-2.74, 6 Au 2.66-2.80, 2 Li 2.67-2.88
Au1 0.1653 0.1699 0.8862  4 Li 2.68-2.78, 4 Cu 2.72-2.78, 4 Au 2.88-2.89
Au2 0.4832 0.5329 0.6674  6 Cu 2.66-2.80, 3 Li 2.68-2.77, 3 Au 2.82-2.89
Au3 0.5168 0.4671 0.3326  6 Cu 2.66-2.80, 3 Li 2.68-2.77, 3 Au 2.82-2.89
Au4 0.8347 0.8301 0.1138  4 Li 2.68-2.78, 4 Cu 2.72-2.78, 4 Au 2.88-2.89

=====

A relaxed Li2CuAu2 crystal. Source: Alexandria via LeMat-Bulk, functional PBE.

* density: 9.6 g cm⁻³
* electronic total energy: -3.18 eV per atom
* relative energy among the computed polymorphs: 0.390 eV per formula unit
* E_form: -6.447 kcal/mol of atoms

Unit cell a=6.8298 b=6.8298 c=3.5108 alpha=90.00 beta=90.00 gamma=90.00
Last column: nearest neighbours and their distance in Å.
Fractional positions:
Li1 0.1568 0.3432 0.0000  6 Au 2.58-2.72
Li2 0.3432 0.8432 0.0000  6 Au 2.58-2.72
Li3 0.6568 0.1568 0.0000  6 Au 2.58-2.72
Li4 0.8432 0.6568 0.0000  6 Au 2.58-2.72
Cu1 0.0000 0.0000 0.5000  4 Au 2.61
Cu2 0.5000 0.5000 0.5000  4 Au 2.61
Au1 0.1468 0.6468 0.5000  6 Li 2.58-2.72, 2 Cu 2.61, 1 Au 2.84
Au2 0.3532 0.1468 0.5000  6 Li 2.58-2.72, 2 Cu 2.61, 1 Au 2.84
Au3 0.6468 0.8532 0.5000  6 Li 2.58-2.72, 2 Cu 2.61, 1 Au 2.84
Au4 0.8532 0.3532 0.5000  6 Li 2.58-2.72, 2 Cu 2.61, 1 Au 2.84

=====

A relaxed Li2CuAu3 crystal. Source: Alexandria via LeMat-Bulk, functional PBE.

* density: 12.1 g cm⁻³
* electronic total energy: -3.33 eV per atom
* relative energy among the computed polymorphs: 0.000 eV per formula unit
* E_form: -8.640 kcal/mol of atoms

Unit cell a=6.5576 b=6.5576 c=7.2067 alpha=90.00 beta=90.00 gamma=143.69
Last column: nearest neighbours and their distance in Å.
Fractional positions:
Li1 0.0000 0.0000 0.0000  8 Au 2.74-2.75, 4 Li 2.90
Li2 0.0000 0.0000 0.5000  8 Au 2.69-2.74, 4 Cu 2.95
Li3 0.3343 0.6657 0.0000  8 Au 2.73-2.77, 4 Li 2.90-2.93
Li4 0.6657 0.3343 0.0000  8 Au 2.73-2.77, 4 Li 2.90-2.93
Cu1 0.3296 0.6704 0.5000  8 Au 2.72-2.76, 2 Cu 2.85, 2 Li 2.95
Cu2 0.6704 0.3296 0.5000  8 Au 2.72-2.76, 2 Cu 2.85, 2 Li 2.95
Au1 0.1659 0.8341 0.2506  3 Cu 2.72, 5 Li 2.73-2.77, 4 Au 2.91-2.93
Au2 0.1659 0.8341 0.7494  3 Cu 2.72, 5 Li 2.73-2.77, 4 Au 2.91-2.93
Au3 0.5000 0.5000 0.2564  6 Li 2.69-2.77, 2 Cu 2.76, 4 Au 2.91
Au4 0.5000 0.5000 0.7436  6 Li 2.69-2.77, 2 Cu 2.76, 4 Au 2.91
Au5 0.8341 0.1659 0.2506  3 Cu 2.72, 5 Li 2.73-2.77, 4 Au 2.91-2.93
Au6 0.8341 0.1659 0.7494  3 Cu 2.72, 5 Li 2.73-2.77, 4 Au 2.91-2.93

=====

A relaxed Li7CuAu3 crystal. Source: Alexandria via LeMat-Bulk, functional PBE.

* density: 6.4 g cm⁻³
* electronic total energy: -2.83 eV per atom
* E_form: -7.912 kcal/mol of atoms

Unit cell a=10.5530 b=10.5530 c=12.2702 alpha=90.00 beta=90.00 gamma=164.57
Last column: nearest neighbours and their distance in Å.
Fractional positions:
Li1 0.0530 0.9470 0.6341  2 Cu 2.65, 2 Au 2.70, 4 Li 2.83-2.90
Li2 0.0530 0.9470 0.8659  2 Cu 2.65, 2 Au 2.70, 4 Li 2.83-2.90
Li3 0.0878 0.9122 0.0949  2 Cu 2.66, 4 Au 2.76-2.80, 4 Li 2.78-2.90
Li4 0.0878 0.9122 0.4051  2 Cu 2.66, 4 Au 2.76-2.80, 4 Li 2.78-2.90
Li5 0.1848 0.8152 0.7500  4 Au 2.79, 8 Li 2.83-3.10
Li6 0.2207 0.7793 0.0962  5 Au 2.65-2.77, 3 Li 2.78-2.83
Li7 0.2207 0.7793 0.4038  5 Au 2.65-2.77, 3 Li 2.78-2.83
Li8 0.7793 0.2207 0.5962  5 Au 2.65-2.77, 3 Li 2.78-2.83
Li9 0.7793 0.2207 0.9038  5 Au 2.65-2.77, 3 Li 2.78-2.83
Li10 0.8152 0.1848 0.2500  4 Au 2.79, 8 Li 2.83-3.10
Li11 0.9122 0.0878 0.5949  2 Cu 2.66, 4 Au 2.76-2.80, 4 Li 2.78-2.90
Li12 0.9122 0.0878 0.9051  2 Cu 2.66, 4 Au 2.76-2.80, 4 Li 2.78-2.90
Li13 0.9470 0.0530 0.1341  2 Cu 2.65, 2 Au 2.70, 4 Li 2.83-2.90
Li14 0.9470 0.0530 0.3659  2 Cu 2.65, 2 Au 2.70, 4 Li 2.83-2.90
Cu1 0.4701 0.5299 0.7500  8 Li 2.65-2.66, 1 Au 2.70, 2 Cu 2.83
Cu2 0.5299 0.4701 0.2500  8 Li 2.65-2.66, 1 Au 2.70, 2 Cu 2.83
Au1 0.3410 0.6590 0.7500  8 Li 2.69-2.80, 1 Cu 2.70, 2 Au 2.83
Au2 0.3459 0.6541 0.0611  9 Li 2.65-2.79, 2 Au 2.83
Au3 0.3459 0.6541 0.4389  9 Li 2.65-2.79, 2 Au 2.83
Au4 0.6541 0.3459 0.5611  9 Li 2.65-2.79, 2 Au 2.83
Au5 0.6541 0.3459 0.9389  9 Li 2.65-2.79, 2 Au 2.83
Au6 0.6590 0.3410 0.2500  8 Li 2.69-2.80, 1 Cu 2.70, 2 Au 2.83

=====

A relaxed LiCu2Au crystal. Source: Alexandria via LeMat-Bulk, functional PBE.

* density: 9.6 g cm⁻³
* electronic total energy: -3.36 eV per atom
* relative energy among the computed polymorphs: 0.748 eV per formula unit
* E_form: -0.433 kcal/mol of atoms

Unit cell a=8.6275 b=8.6275 c=8.6275 alpha=18.67 beta=18.67 gamma=18.67
Last column: nearest neighbours and their distance in Å.
Fractional positions:
Li1 0.0000 0.0000 0.0000  3 Cu 2.65, 3 Au 2.73, 6 Li 2.80
Cu1 0.2506 0.2506 0.2506  9 Cu 2.51-2.80, 3 Li 2.65
Cu2 0.5083 0.5083 0.5083  9 Cu 2.51-2.80, 3 Au 2.77
Au1 0.7534 0.7534 0.7534  3 Li 2.73, 3 Cu 2.77, 6 Au 2.80

=====

A relaxed Li2Cu2Au crystal. Source: Alexandria via LeMat-Bulk, functional PBE.

* density: 7.5 g cm⁻³
* electronic total energy: -2.92 eV per atom
* relative energy among the computed polymorphs: 1.842 eV per formula unit
* E_form: 3.304 kcal/mol of atoms

Unit cell a=6.3550 b=6.3550 c=6.3550 alpha=147.25 beta=147.25 gamma=46.99
Last column: nearest neighbours and their distance in Å.
Fractional positions:
Li1 0.2500 0.7500 0.5000  4 Cu 2.51, 4 Li 2.53
Li2 0.7500 0.2500 0.5000  4 Cu 2.51, 4 Li 2.53
Cu1 0.0986 0.0986 0.0000  1 Cu 2.30, 4 Li 2.51
Cu2 0.9014 0.9014 0.0000  1 Cu 2.30, 4 Li 2.51
Au1 0.5000 0.5000 0.0000  8 Cu 2.78

=====

A relaxed LiCuAu2 crystal. Source: Alexandria via LeMat-Bulk, functional PBE.

* density: 11.2 g cm⁻³
* electronic total energy: -3.20 eV per atom
* E_form: -1.252 kcal/mol of atoms

Unit cell a=9.3914 b=9.3914 c=9.3914 alpha=155.93 beta=155.93 gamma=34.30
Last column: nearest neighbours and their distance in Å.
Fractional positions:
Li1 0.0000 0.0000 0.0000  4 Au 2.64, 4 Cu 2.77
Li2 0.7500 0.2500 0.5000  4 Au 2.64, 4 Cu 2.77
Cu1 0.2500 0.7500 0.5000  4 Au 2.63, 4 Li 2.77
Cu2 0.5000 0.5000 0.0000  4 Au 2.63, 4 Li 2.77
Au1 0.1263 0.6250 0.0013  2 Cu 2.63, 2 Li 2.64, 4 Au 2.76-2.78
Au2 0.3750 0.3763 0.5013  2 Cu 2.63, 2 Li 2.64, 4 Au 2.76-2.78
Au3 0.6237 0.1250 0.9987  2 Cu 2.63, 2 Li 2.64, 4 Au 2.76-2.78
Au4 0.8750 0.8737 0.4987  2 Cu 2.63, 2 Li 2.64, 4 Au 2.76-2.78

=====

A relaxed LiCu2Au crystal. Source: Alexandria via LeMat-Bulk, functional PBE.

* density: 9.8 g cm⁻³
* electronic total energy: -3.41 eV per atom
* relative energy among the computed polymorphs: 0.585 eV per formula unit
* E_form: -1.371 kcal/mol of atoms

Unit cell a=3.1688 b=3.1688 c=5.5786 alpha=90.00 beta=90.00 gamma=90.00
Last column: nearest neighbours and their distance in Å.
Fractional positions:
Li1 0.0000 0.0000 0.0000  8 Cu 2.59, 2 Au 2.79
Cu1 0.5000 0.5000 0.2333  4 Li 2.59, 1 Cu 2.60, 4 Au 2.69
Cu2 0.5000 0.5000 0.7667  4 Li 2.59, 1 Cu 2.60, 4 Au 2.69
Au1 0.0000 0.0000 0.5000  8 Cu 2.69, 2 Li 2.79

=====

A relaxed Li8CuAu6 crystal. Source: Alexandria via LeMat-Bulk, functional PBE.

* density: 7.9 g cm⁻³
* electronic total energy: -2.99 eV per atom
* E_form: -8.798 kcal/mol of atoms

Unit cell a=6.9460 b=6.9460 c=6.9460 alpha=66.94 beta=66.94 gamma=66.94
Last column: nearest neighbours and their distance in Å.
Fractional positions:
Li1 0.0650 0.3761 0.7038  5 Au 2.67-2.87, 1 Li 2.96
Li2 0.1657 0.1657 0.1657  6 Au 2.66-2.67
Li3 0.2962 0.9350 0.6239  5 Au 2.67-2.87, 1 Li 2.96
Li4 0.3761 0.7038 0.0650  5 Au 2.67-2.87, 1 Li 2.96
Li5 0.6239 0.2962 0.9350  5 Au 2.67-2.87, 1 Li 2.96
Li6 0.7038 0.0650 0.3761  5 Au 2.67-2.87, 1 Li 2.96
Li7 0.8343 0.8343 0.8343  6 Au 2.66-2.67
Li8 0.9350 0.6239 0.2962  5 Au 2.67-2.87, 1 Li 2.96
Cu1 0.5000 0.5000 0.5000  6 Au 2.68
Au1 0.1151 0.7852 0.4529  7 Li 2.66-2.87, 1 Cu 2.68, 1 Au 2.98
Au2 0.2148 0.5471 0.8849  7 Li 2.66-2.87, 1 Cu 2.68, 1 Au 2.98
Au3 0.4529 0.1151 0.7852  7 Li 2.66-2.87, 1 Cu 2.68, 1 Au 2.98
Au4 0.5471 0.8849 0.2148  7 Li 2.66-2.87, 1 Cu 2.68, 1 Au 2.98
Au5 0.7852 0.4529 0.1151  7 Li 2.66-2.87, 1 Cu 2.68, 1 Au 2.98
Au6 0.8849 0.2148 0.5471  7 Li 2.66-2.87, 1 Cu 2.68, 1 Au 2.98

=====

A relaxed Li5CuAu4 crystal. Source: Alexandria via LeMat-Bulk, functional PBE.

* density: 9.8 g cm⁻³
* electronic total energy: -3.11 eV per atom
* E_form: -10.043 kcal/mol of atoms

Unit cell a=3.1692 b=3.1692 c=14.9200 alpha=90.00 beta=90.00 gamma=90.00
Last column: nearest neighbours and their distance in Å.
Fractional positions:
Li1 0.0000 0.0000 0.0000  8 Au 2.72
Li2 0.0000 0.0000 0.2058  8 Au 2.71-2.73, 1 Li 2.98
Li3 0.0000 0.0000 0.4057  4 Cu 2.65, 4 Au 2.65, 1 Li 2.82
Li4 0.0000 0.0000 0.5943  4 Cu 2.65, 4 Au 2.65, 1 Li 2.82
Li5 0.0000 0.0000 0.7942  8 Au 2.71-2.73, 1 Li 2.98
Cu1 0.5000 0.5000 0.5000  8 Li 2.65, 2 Au 2.83
Au1 0.5000 0.5000 0.1034  8 Li 2.71-2.72
Au2 0.5000 0.5000 0.3105  8 Li 2.65-2.73, 1 Cu 2.83
Au3 0.5000 0.5000 0.6895  8 Li 2.65-2.73, 1 Cu 2.83
Au4 0.5000 0.5000 0.8966  8 Li 2.71-2.72

=====

A relaxed LiCu2Au crystal. Source: Alexandria via LeMat-Bulk, functional PBE.

* density: 9.8 g cm⁻³
* electronic total energy: -3.46 eV per atom
* relative energy among the computed polymorphs: 0.348 eV per formula unit
* E_form: -2.737 kcal/mol of atoms

Unit cell a=4.6638 b=4.6638 c=2.7580 alpha=90.00 beta=90.00 gamma=110.42
Last column: nearest neighbours and their distance in Å.
Fractional positions:
Li1 0.0000 0.0000 0.0000  2 Au 2.66, 8 Cu 2.71, 2 Li 2.76
Cu1 0.0000 0.5000 0.5000  4 Cu 2.66-2.76, 4 Li 2.71, 4 Au 2.71
Cu2 0.5000 0.0000 0.5000  4 Cu 2.66-2.76, 4 Li 2.71, 4 Au 2.71
Au1 0.5000 0.5000 0.0000  2 Li 2.66, 8 Cu 2.71, 2 Au 2.76